Below is a relaxed TlIrOs2 crystal, with properties calculated at the PBE level.

Output
Density of states at the Fermi level, states/eV/f.u.: 4.7
Energy of formation, eV/f.u.: 3.20
Density, Mg/m³: 20.079
SG: I-4m2
Energy above the lowest structure with this stoichiometry, meV per atom: 303

Lattice parameters (Å, degrees): 4.880 4.880 4.880 131.28 131.28 71.37
Element x y z (fractional)
Tl  0.000  0.000  0.000
Ir  0.250  0.750  0.500
Os  0.500  0.500  0.000
Os  0.750  0.250  0.500